# 1
The following is a SCAN calculation of a crystal of ZrMnAg2 relaxed with PBEsol, from the Alexandria database.

Cell and atoms, written as POSCAR:
```
ZrMnAg2
1.0
-2.0177 2.0177 4.0994
2.0177 -2.0177 4.0994
2.0177 2.0177 -4.0994
Zr Mn Ag
1 1 2
Direct
0.0000 0.0000 0.0000
0.2500 0.7500 0.5000
0.5000 0.5000 0.0000
0.7500 0.2500 0.5000
```

## Properties
**Energy of formation from the pure elements**: 27.5 meV per atom
**Fermi-level density of states**: 0.793 states/eV/atom



# 2
The following is a SCAN calculation of a crystal of ZrMnAg2 relaxed with PBEsol, from the Alexandria database.

Cell and atoms, written as POSCAR:
```
ZrMnAg2
1.0
-1.9412 1.9412 4.3558
1.9412 -1.9412 4.3558
1.9412 1.9412 -4.3558
Zr Mn Ag
1 1 2
Direct
0.0000 0.0000 0.0000
0.5000 0.5000 0.0000
0.2500 0.7500 0.5000
0.7500 0.2500 0.5000
```

## Properties
**Energy of formation from the pure elements**: -11.4 meV per atom
**Fermi-level density of states**: 0.615 states/eV/atom



# 3
The following is a SCAN calculation of a crystal of Ag5Mo relaxed with PBEsol, from the Alexandria database.

Cell and atoms, written as POSCAR:
```
Ag5Mo
1.0
5.2700 0.0000 0.0000
-2.6350 4.5640 0.0000
0.0000 0.0000 4.6134
Ag Mo
5 1
Direct
0.0000 0.5000 0.0000
0.3333 0.6667 0.5000
0.5000 0.0000 0.0000
0.5000 0.5000 0.0000
0.6667 0.3333 0.5000
0.0000 0.0000 0.5000
```

## Properties
**Energy of formation from the pure elements**: 645.3 meV per atom
**Fermi-level density of states**: 0.447 states/eV/atom



# 4
The following is a SCAN calculation of a crystal of AgMo relaxed with PBEsol, from the Alexandria database.

Cell and atoms, written as POSCAR:
```
AgMo
1.0
0.0000 3.1753 3.1753
3.1753 0.0000 3.1753
3.1753 3.1753 0.0000
Ag Mo
2 2
Direct
0.1250 0.1250 0.1250
0.8750 0.8750 0.8750
0.3750 0.3750 0.3750
0.6250 0.6250 0.6250
```

## Properties
**Energy of formation from the pure elements**: 705.5 meV per atom
**Polymorph energy (0 for the lowest one)**: 0.307 eV/atom
**Fermi-level density of states**: 0.665 states/eV/atom



# 5
The following is a SCAN calculation of a crystal of AgMo relaxed with PBEsol, from the Alexandria database.

Cell and atoms, written as POSCAR:
```
AgMo
1.0
2.7551 0.0000 0.0000
-1.3775 2.3859 0.0000
0.0000 0.0000 9.6789
Ag Mo
2 2
Direct
0.3333 0.6667 0.3743
0.6667 0.3333 0.6257
0.3333 0.6667 0.8779
0.6667 0.3333 0.1221
```

## Properties
**Energy of formation from the pure elements**: 411.8 meV per atom
**Polymorph energy (0 for the lowest one)**: 0.014 eV/atom
**Fermi-level density of states**: 0.716 states/eV/atom



# 6
The following is a SCAN calculation of a crystal of AgMo relaxed with PBEsol, from the Alexandria database.

Cell and atoms, written as POSCAR:
```
AgMo
1.0
2.6743 0.0000 0.0000
0.0000 2.6743 0.0000
0.0000 0.0000 8.8175
Ag Mo
2 2
Direct
0.2500 0.2500 0.1258
0.7500 0.7500 0.8742
0.2500 0.2500 0.6258
0.7500 0.7500 0.3742
```

## Properties
**Energy of formation from the pure elements**: 398.2 meV per atom
**Polymorph energy (0 for the lowest one)**: 0.000 eV/atom
**Fermi-level density of states**: 0.715 states/eV/atom